# SrCaSnGe | Alexandria via LeMat-Bulk | GGA-PBE | optimized geometry
data_SrCaSnGe
_chemical_formula_sum 'Sr4 Ca4 Sn4 Ge4'
_symmetry_space_group_name_H-M 'F -4 3 m'
_symmetry_Int_Tables_number 216
_symmetry_space_group_name_Hall 'F -4 2 3'
_cell_length_a 7.7343
_cell_length_b 7.7343
_cell_length_c 7.7343
_cell_angle_alpha 90.00
_cell_angle_beta 90.00
_cell_angle_gamma 90.00
loop_
_atom_site_label
_atom_site_type_symbol
_atom_site_fract_x
_atom_site_fract_y
_atom_site_fract_z
Sr1 Sr 0.0000 0.0000 0.0000
Ca1 Ca 0.0000 0.0000 0.5000
Sn1 Sn 0.2500 0.2500 0.2500
Ge1 Ge 0.2500 0.2500 0.7500
# - E_form (eV/atom) = -0.48

***

# CaSn2GeTe4 | Alexandria via LeMat-Bulk | GGA-PBE | optimized geometry
data_CaSn2GeTe4
_chemical_formula_sum 'Ca1 Sn2 Ge1 Te4'
_symmetry_space_group_name_H-M 'P 1 2/m 1'
_symmetry_Int_Tables_number 10
_cell_length_a 7.7503
_cell_length_b 4.4620
_cell_length_c 7.7653
_cell_angle_alpha 90.00
_cell_angle_beta 109.39
_cell_angle_gamma 90.00
loop_
_symmetry_equiv_pos_as_xyz
'x,y,z'
'-x,-y,-z'
'-x,y,-z'
'x,-y,z'
loop_
_atom_site_label
_atom_site_type_symbol
_atom_site_fract_x
_atom_site_fract_y
_atom_site_fract_z
Ca1 Ca 0.0000 0.0000 0.0000
Sn1 Sn 0.5000 0.0000 0.5000
Sn2 Sn 0.5000 0.5000 0.0000
Ge1 Ge 0.0000 0.5000 0.5000
Te1 Te 0.2369 0.0000 0.7378
Te2 Te 0.2423 0.5000 0.2552
# - E_form (uncorrected) (eV per atom) = -0.54

***

# SrCaGe3 | Alexandria via LeMat-Bulk | GGA-PBE | optimized geometry
data_SrCaGe3
_chemical_formula_sum 'Sr4 Ca4 Ge12'
_symmetry_space_group_name_H-M 'C m c m'
_symmetry_Int_Tables_number 63
_symmetry_space_group_name_Hall '-C 2c 2'
_cell_length_a 4.5633
_cell_length_b 27.5823
_cell_length_c 4.1298
_cell_angle_alpha 90.00
_cell_angle_beta 90.00
_cell_angle_gamma 90.00
loop_
_atom_site_label
_atom_site_type_symbol
_atom_site_fract_x
_atom_site_fract_y
_atom_site_fract_z
Sr1 Sr 0.0000 0.0767 0.2500
Ca1 Ca 0.0000 0.2039 0.7500
Ge1 Ge 0.0000 0.3163 0.7500
Ge2 Ge 0.0000 0.3734 0.2500
Ge3 Ge 0.0000 0.4734 0.2500
# - ΔE to the lowest computed polymorph (meV/atom) = 0
# - E_form (eV/atom) = -0.54

***

# SrCa2Ge2 | Alexandria via LeMat-Bulk | GGA-PBE | optimized geometry
data_SrCa2Ge2
_chemical_formula_sum 'Sr2 Ca4 Ge4'
_symmetry_space_group_name_H-M 'I 4/m m m'
_symmetry_Int_Tables_number 139
_symmetry_space_group_name_Hall '-I 4 2'
_cell_length_a 4.8200
_cell_length_b 4.8200
_cell_length_c 12.8004
_cell_angle_alpha 90.00
_cell_angle_beta 90.00
_cell_angle_gamma 90.00
loop_
_atom_site_label
_atom_site_type_symbol
_atom_site_fract_x
_atom_site_fract_y
_atom_site_fract_z
Sr1 Sr 0.0000 0.0000 0.0000
Ca1 Ca 0.0000 0.5000 0.2500
Ge1 Ge 0.0000 0.0000 0.4001
# - ΔE to the lowest computed polymorph (meV/atom) = 5
# - E_form (eV/atom) = -0.46

***

Number 1: uncorrected energy -14.2 eV/f.u.. Number 2: uncorrected energy -31.5 eV/f.u.. Number 3: uncorrected energy -20.2 eV/f.u.. Number 4: uncorrected energy -17.2 eV/f.u..